# BiAsSe2Cl

A crystal of BiAsSe2Cl relaxed with PBEsol (SCAN, Alexandria).

The structure in CIF format:
```
data_BiAsSe2Cl
_chemical_formula_sum 'Bi1 As1 Se2 Cl1'
_cell_length_a 5.357
_cell_length_b 5.357
_cell_length_c 5.618
_cell_angle_alpha 90.00
_cell_angle_beta 90.00
_cell_angle_gamma 90.00
_space_group_name_H-M_alt 'P 4/m m m'
_space_group_IT_number 123
_space_group_name_Hall '-P 4 2'
loop_
_atom_site_label
_atom_site_type_symbol
_atom_site_fract_x
_atom_site_fract_y
_atom_site_fract_z
Bi1 Bi 0.000 0.000 0.000
As1 As 0.000 0.000 0.500
Se1 Se 0.000 0.500 0.000
Cl1 Cl 0.500 0.500 0.500
```

* raw formation energy: 810.6 meV/atom
* crystal system: tetragonal
* energy: -28.570 eV per atom
* D(E_F): 1.171 states/eV/atom